1.
Cs2ZrSc2Se6 (PBE, relaxed); energy relative to the elements, uncorrected = -17.18 eV/f.u.; energy = -5.55 eV per atom; symmetry = C2/m; crystal system = monoclinic
1.0
-3.4219 -4.7887 -3.4745
-1.2553 0.9541 6.6504
-4.4633 7.0250 -3.0295
Cs Zr Sc Se
2 1 2 6
direct
0.8333 0.1667 0.0000
0.1667 0.8333 0.0000
0.0000 0.0000 0.5000
0.3327 0.6673 0.5000
0.6673 0.3327 0.5000
0.7261 0.7261 0.6770
0.0617 0.3913 0.6775
0.2739 0.2739 0.3230
0.3913 0.0617 0.6775
0.9383 0.6087 0.3225
0.6087 0.9383 0.3225


2.
BaYN2 (PBE, relaxed); energy relative to the elements, uncorrected = 0.06 eV/f.u.; density of states at the Fermi level = 2.95 states/eV/cell; energy = -6.25 eV per atom; symmetry = Fm-3m; crystal system = cubic
1.0
0.0000 3.2283 3.2283
3.2283 0.0000 3.2283
3.2283 3.2283 0.0000
Y Ba N
1 1 2
direct
0.0000 0.0000 0.0000
0.5000 0.5000 0.5000
0.2500 0.2500 0.2500
0.7500 0.7500 0.7500


3.
TlCrP2 (PBE, relaxed); density of states at the Fermi level = 2.47 states/eV/cell; energy above the lowest structure with this stoichiometry = 198 meV/atom; energy = -5.49 eV per atom; symmetry = Pm; formation energy = 0.216 eV/atom; crystal system = monoclinic
1.0
-0.6914 2.8000 -1.9002
0.3185 -1.9419 -2.9774
-5.7351 -2.2062 -1.1642
Cr P Tl
1 2 1
direct
0.5000 0.8800 0.8082
0.0000 0.8462 0.0813
0.5000 0.2728 0.0707
0.0000 0.5010 0.5398


4.
NbHSN2 (PBE, relaxed); density of states at the Fermi level = 3.28 states/eV/cell; energy above the lowest structure with this stoichiometry = 0 meV/atom; energy = -5.90 eV per atom; symmetry = P4/mmm; crystal system = tetragonal
1.0
3.9895 0.0000 0.0000
0.0000 3.9895 0.0000
0.0000 0.0000 5.1168
H Nb S N
1 1 1 2
direct
0.5000 0.5000 0.5000
0.0000 0.0000 0.0000
0.0000 0.0000 0.5000
0.0000 0.5000 0.0000
0.5000 0.0000 0.0000


Repeat the second record exactly.
BaYN2 (PBE, relaxed); energy relative to the elements, uncorrected = 0.06 eV/f.u.; density of states at the Fermi level = 2.95 states/eV/cell; energy = -6.25 eV per atom; symmetry = Fm-3m; crystal system = cubic
1.0
0.0000 3.2283 3.2283
3.2283 0.0000 3.2283
3.2283 3.2283 0.0000
Y Ba N
1 1 2
direct
0.0000 0.0000 0.0000
0.5000 0.5000 0.5000
0.2500 0.2500 0.2500
0.7500 0.7500 0.7500


- Which value of energy does entry 4 give?
  -5.90 eV per atom


- Which of these has the lowest energy?
  BaYN2


- Which of these has the lowest energy?
  BaYN2